Material: AcCe2TeO4
Method: DFT, PBE
State: relaxed

The space group is P4/mmm (No. 123) and the conventional cell measures 4.063, 4.063 and 9.484 Å, with angles of 90.00, 90.00 and 90.00 degrees. Symmetry generates all atoms from Ac at (0.000, 0.000, 0.000), Ce at (0.500, 0.500, 0.278), Te at (0.000, 0.000, 0.500) and O at (0.000, 0.500, 0.168).

The uncorrected formation energy comes out at -3.108 eV per atom.